Entry from Alexandria via LeMat-Bulk: a geometry-optimized CaAcPmHg structure (PBE-GGA).

Structure (CIF):
```
data_CaAcPmHg
_chemical_formula_sum 'Ca4 Ac4 Pm4 Hg4'
_cell_length_a 8.128
_cell_length_b 8.128
_cell_length_c 8.128
_cell_angle_alpha 90.00
_cell_angle_beta 90.00
_cell_angle_gamma 90.00
_space_group_name_H-M_alt 'F -4 3 m'
_space_group_IT_number 216
_space_group_name_Hall 'F -4 2 3'
loop_
_atom_site_label
_atom_site_fract_x
_atom_site_fract_y
_atom_site_fract_z
Ca1 0.000 0.000 0.000
Ac1 0.250 0.250 0.750
Pm1 0.000 0.000 0.500
Hg1 0.250 0.250 0.250
```

Output
DFT formation energy, kJ/mol of formula units: 16
Energy relative to the lowest polymorph listed for this composition, kJ/mol of formula units: 109